1.
The following is a DFT calculation (PBE) of crystalline Sm at its relaxed geometry.

For the relative energy among the computed polymorphs, the calculation gives 1.716 eV per atom.

The space group is Fd-3m (No. 227, origin choice 2) and the conventional cell measures 6.584, 6.584 and 6.584 Å, with angles of 90.00, 90.00 and 90.00 degrees. Symmetry generates all atoms from Sm at (0.125, 0.125, 0.125).

---

2.
The following is a DFT calculation (PBE) of crystalline Sm at its relaxed geometry.

For the relative energy among the computed polymorphs, the calculation gives 0.006 eV per atom.

The space group is Fm-3m (No. 225) and the conventional cell measures 5.120, 5.120 and 5.120 Å, with angles of 90.00, 90.00 and 90.00 degrees. Symmetry generates all atoms from Sm at (0.000, 0.000, 0.000).

---

Table of E_form (eV/atom), in record order: 1.716 0.006